[1]
Entry from OQMD via LeMat-Bulk: a relaxed Sb2W4CN crystal (PBE).

The total energy is -9.29 eV/atom.

Cell: 3.3322 3.3322 12.6428 Å, 90.00 90.00 120.00°
Space group P-3m1 (No. 164)
Asymmetric unit:
Sb  0.3333  0.6667  0.2484
W  0.3333  0.6667  0.5809
W  0.3333  0.6667  0.9235
C  0.0000  0.0000  0.5000
N  0.0000  0.0000  0.0000

---

[2]
Entry from OQMD via LeMat-Bulk: a relaxed LuCuSbIr crystal (PBE).

The total energy is -5.59 eV/atom. The value obtained for the energy above the most stable polymorph in this dataset is 3.33 kcal/mol of atoms.

Cell: 6.595 6.595 6.595 Å, 90.00 90.00 90.00°
Space group F-43m (No. 216)
Asymmetric unit:
Lu  0.000  0.000  0.000
Cu  0.250  0.250  0.750
Sb  0.250  0.250  0.250
Ir  0.000  0.000  0.500

---

[3]
Entry from OQMD via LeMat-Bulk: a relaxed LaNbPO crystal (PBE).

The total energy is -8.35 eV/atom. The value obtained for the energy above the most stable polymorph in this dataset is 0.00 kcal/mol of atoms.

Cell: 4.043 4.043 9.229 Å, 90.00 90.00 90.00°
Space group P4/nmm (No. 129, origin choice 2)
Asymmetric unit:
La  0.250  0.250  0.133
Nb  0.250  0.750  0.500
P  0.250  0.250  0.675
O  0.250  0.750  0.000

---

[4]
Entry from OQMD via LeMat-Bulk: a relaxed Na3PdCl6 crystal (PBE).

The total energy is -3.11 eV/atom.

Cell: 10.020 10.020 10.020 Å, 90.00 90.00 90.00°
Space group Fm-3m (No. 225)
Asymmetric unit:
Na  0.000  0.000  0.000
Na  0.250  0.250  0.250
Pd  0.000  0.000  0.500
Cl  0.000  0.000  0.261

---

[5]
Entry from OQMD via LeMat-Bulk: a relaxed KW2Br6N2 crystal (PBE).

The total energy is -5.41 eV/atom.

Cell: 3.789 11.263 13.532 Å, 90.00 90.00 90.00°
Space group Immm (No. 71)
Asymmetric unit:
K  0.000  0.000  0.000
W  0.000  0.154  0.500
Br  0.000  0.000  0.351
Br  0.000  0.314  0.369
N  0.000  0.367  0.000

---

[6]
Entry from OQMD via LeMat-Bulk: a relaxed YFeCuMo crystal (PBE).

The total energy is -6.65 eV/atom. The value obtained for the energy above the most stable polymorph in this dataset is 8.32 kcal/mol of atoms.

Cell: 6.409 6.409 6.409 Å, 90.00 90.00 90.00°
Space group F-43m (No. 216)
Asymmetric unit:
Y  0.000  0.000  0.000
Fe  0.250  0.250  0.750
Cu  0.000  0.000  0.500
Mo  0.250  0.250  0.250